[1]
# BeAlN

A relaxed BeAlN crystal (GGA-PBE, Alexandria).

Properties
E_form (uncorrected), eV per formula unit: -2.3
SG: No. 129
Raw total energy, eV for the cell shown: -36.11

a = 3.1236 Å, b = 3.1236 Å, c = 6.7737 Å
α = 90.00°, β = 90.00°, γ = 90.00°
Closest atoms and distances in Å follow each position.
Element x y z (fractional)
Be 0.2500 0.7500 0.0000  4 N 1.76
Be 0.7500 0.2500 0.0000  4 N 1.76
Al 0.2500 0.2500 0.3885  1 N 1.83
Al 0.7500 0.7500 0.6115  1 N 1.83
N 0.2500 0.2500 0.1190  4 Be 1.76, 1 Al 1.83
N 0.7500 0.7500 0.8810  4 Be 1.76, 1 Al 1.83

=====

[2]
# BeAl2N

A relaxed BeAl2N crystal (GGA-PBE, Alexandria).

Properties
E_form (uncorrected), eV per formula unit: -0.1
SG: No. 122
Raw total energy, eV for the cell shown: -39.36
Energy relative to the lowest polymorph listed for this composition, eV/f.u.: 0.000

a = 5.5626 Å, b = 5.5626 Å, c = 5.5626 Å
α = 123.98°, β = 123.98°, γ = 83.24°
Closest atoms and distances in Å follow each position.
Element x y z (fractional)
Be 0.0000 0.0000 0.0000  4 Al 2.38
Be 0.7500 0.2500 0.5000  4 Al 2.38
Al 0.1996 0.6250 0.0746  2 N 1.90
Al 0.3750 0.4496 0.5746  2 N 1.90
Al 0.5504 0.1250 0.9254  2 N 1.90
Al 0.8750 0.8004 0.4254  2 N 1.90
N 0.2500 0.7500 0.5000  4 Al 1.90
N 0.5000 0.5000 0.0000  4 Al 1.90

=====

[3]
# BeAlN3

A relaxed BeAlN3 crystal (GGA-PBE, Alexandria).

Properties
E_form (uncorrected), eV per formula unit: 5.7
SG: No. 221
Raw total energy, eV for the cell shown: -26.78

a = 3.4314 Å, b = 3.4314 Å, c = 3.4314 Å
α = 90.00°, β = 90.00°, γ = 90.00°
Closest atoms and distances in Å follow each position.
Element x y z (fractional)
Be 0.0000 0.0000 0.0000  6 N 1.72
Al 0.5000 0.5000 0.5000  12 N 2.43
N 0.0000 0.0000 0.5000  2 Be 1.72
N 0.0000 0.5000 0.0000  2 Be 1.72
N 0.5000 0.0000 0.0000  2 Be 1.72

=====

[4]
# BeAlN2

A relaxed BeAlN2 crystal (GGA-PBE, Alexandria).

Properties
E_form (uncorrected), eV per formula unit: 1.6
SG: No. 166
Raw total energy, eV for the cell shown: -22.48
Energy relative to the lowest polymorph listed for this composition, eV/f.u.: 4.361

a = 5.7188 Å, b = 5.7188 Å, c = 5.7188 Å
α = 29.54°, β = 29.54°, γ = 29.54°
Closest atoms and distances in Å follow each position.
Element x y z (fractional)
Be 0.0000 0.0000 0.0000  6 N 1.93
Al 0.5000 0.5000 0.5000  2 N 1.78
N 0.3913 0.3913 0.3913  1 Al 1.78, 3 Be 1.93
N 0.6087 0.6087 0.6087  1 Al 1.78, 3 Be 1.93

=====

[5]
# BeAlN

A relaxed BeAlN crystal (GGA-PBE, Alexandria).

Properties
E_form (uncorrected), eV per formula unit: -2.0
SG: No. 8
Raw total energy, eV for the cell shown: -35.50

a = 6.2911 Å, b = 6.2911 Å, c = 4.0937 Å
α = 91.14°, β = 91.14°, γ = 25.52°
Closest atoms and distances in Å follow each position.
Element x y z (fractional)
Be 0.0000 0.0000 0.0000  3 N 1.61-1.69
Be 0.5321 0.5321 0.5055  3 N 1.62-1.70
Al 0.3111 0.3111 0.7570  1 N 1.86
Al 0.7032 0.7032 0.2513  2 N 2.04
N 0.0853 0.0853 0.3303  3 Be 1.69-1.70
N 0.4613 0.4613 0.8340  3 Be 1.61-1.62

=====

[6]
# BeAlN3

A relaxed BeAlN3 crystal (GGA-PBE, Alexandria).

Properties
E_form (uncorrected), eV per formula unit: 6.6
SG: No. 221
Raw total energy, eV for the cell shown: -25.84

a = 3.6789 Å, b = 3.6789 Å, c = 3.6789 Å
α = 90.00°, β = 90.00°, γ = 90.00°
Closest atoms and distances in Å follow each position.
Element x y z (fractional)
Be 0.0000 0.0000 0.0000  12 N 2.60
Al 0.5000 0.5000 0.5000  6 N 1.84
N 0.0000 0.5000 0.5000  2 Al 1.84
N 0.5000 0.0000 0.5000  2 Al 1.84
N 0.5000 0.5000 0.0000  2 Al 1.84

=====

[7]
# BeAlN

A relaxed BeAlN crystal (GGA-PBE, Alexandria).

Properties
E_form (uncorrected), eV per formula unit: -2.1
SG: No. 38
Raw total energy, eV for the cell shown: -35.77

a = 3.1314 Å, b = 6.8119 Å, c = 6.8119 Å
α = 25.06°, β = 90.00°, γ = 90.00°
Closest atoms and distances in Å follow each position.
Element x y z (fractional)
Be 0.0000 0.0000 0.0000  4 N 1.72-1.78
Be 0.5000 0.4829 0.4829  4 N 1.70-1.83
Al 0.0000 0.2927 0.2927  1 N 1.87
Al 0.5000 0.6710 0.6710  2 N 2.05
N 0.0000 0.4334 0.4334  4 Be 1.70-1.72, 1 Al 1.87
N 0.5000 0.0637 0.0637  4 Be 1.78-1.83

=====

[8]
# BeAlN

A relaxed BeAlN crystal (GGA-PBE, Alexandria).

Properties
E_form (uncorrected), eV per formula unit: -1.8
SG: No. 12
Raw total energy, eV for the cell shown: -35.27

a = 4.9904 Å, b = 4.9904 Å, c = 4.8219 Å
α = 115.46°, β = 115.46°, γ = 32.34°
Closest atoms and distances in Å follow each position.
Element x y z (fractional)
Be 0.1577 0.1577 0.3353  3 N 1.77
Be 0.8423 0.8423 0.6647  3 N 1.77
Al 0.3879 0.3879 0.1993  3 N 1.98-2.03
Al 0.6121 0.6121 0.8007  3 N 1.98-2.03
N 0.2519 0.2519 0.7466  3 Be 1.77, 1 Al 1.98
N 0.7481 0.7481 0.2534  3 Be 1.77, 1 Al 1.98

=====

[9]
# BeAlN2

A relaxed BeAlN2 crystal (GGA-PBE, Alexandria).

Properties
E_form (uncorrected), eV per formula unit: 1.8
SG: No. 225
Raw total energy, eV for the cell shown: -22.28
Energy relative to the lowest polymorph listed for this composition, eV/f.u.: 4.569

a = 3.5362 Å, b = 3.5362 Å, c = 3.5362 Å
α = 60.00°, β = 60.00°, γ = 60.00°
Closest atoms and distances in Å follow each position.
Element x y z (fractional)
Be 0.0000 0.0000 0.0000  8 N 2.17
Al 0.5000 0.5000 0.5000  8 N 2.17
N 0.2500 0.2500 0.2500  4 Be 2.17, 4 Al 2.17
N 0.7500 0.7500 0.7500  4 Be 2.17, 4 Al 2.17

=====

[10]
# BeAlN

A relaxed BeAlN crystal (GGA-PBE, Alexandria).

Properties
E_form (uncorrected), eV per formula unit: -2.1
SG: No. 187
Raw total energy, eV for the cell shown: -17.84

a = 2.9187 Å, b = 2.9187 Å, c = 4.0222 Å
α = 90.00°, β = 90.00°, γ = 120.00°
Closest atoms and distances in Å follow each position.
Element x y z (fractional)
Be 0.0000 0.0000 0.0000  3 N 1.69
Al 0.6667 0.3333 0.5000  2 N 2.01
N 0.6667 0.3333 0.0000  3 Be 1.69

=====

[11]
# BeAlN2

A relaxed BeAlN2 crystal (GGA-PBE, Alexandria).

Properties
E_form (uncorrected), eV per formula unit: -1.7
SG: No. 166
Raw total energy, eV for the cell shown: -25.80
Energy relative to the lowest polymorph listed for this composition, eV/f.u.: 1.050

a = 5.4886 Å, b = 5.4886 Å, c = 5.4886 Å
α = 31.30°, β = 31.30°, γ = 31.30°
Closest atoms and distances in Å follow each position.
Element x y z (fractional)
Be 0.0000 0.0000 0.0000  2 N 1.52
Al 0.5000 0.5000 0.5000  6 N 2.02
N 0.0974 0.0974 0.0974  1 Be 1.52
N 0.9026 0.9026 0.9026  1 Be 1.52

=====

[12]
# BeAlN

A relaxed BeAlN crystal (GGA-PBE, Alexandria).

Properties
E_form (uncorrected), eV per formula unit: -1.8
SG: No. 10
Raw total energy, eV for the cell shown: -35.17

a = 4.2969 Å, b = 2.7837 Å, c = 4.8177 Å
α = 90.00°, β = 93.73°, γ = 90.00°
Closest atoms and distances in Å follow each position.
Element x y z (fractional)
Be 0.1882 0.0000 0.1814  3 N 1.78-1.81
Be 0.8118 0.0000 0.8186  3 N 1.78-1.81
Al 0.2740 0.5000 0.6855  3 N 1.98-2.00
Al 0.7260 0.5000 0.3145  3 N 1.98-2.00
N 0.0000 0.0000 0.5000  2 Be 1.78
N 0.0000 0.5000 0.0000  4 Be 1.81, 2 Al 1.98